# 1
# PBE RbBaPd3, relaxed
# ΔE_f: 680.2 meV/atom
data_RbBaPd3
_cell_length_a 5.403
_cell_length_b 5.403
_cell_length_c 5.403
_cell_angle_alpha 90.00
_cell_angle_beta 90.00
_cell_angle_gamma 90.00
_symmetry_space_group_name_H-M 'P m -3 m'
_symmetry_Int_Tables_number 221
_symmetry_space_group_name_Hall '-P 4 2 3'
loop_
_atom_site_label
_atom_site_fract_x
_atom_site_fract_y
_atom_site_fract_z
_atom_site_occupancy
Rb1 0.000 0.000 0.000 1
Ba1 0.500 0.500 0.500 1
Pd1 0.000 0.000 0.500 1



# 2
# PBE RbBa2Pd, relaxed
# ΔE_f: -272.7 meV/atom
data_RbBa2Pd
_cell_length_a 4.6533
_cell_length_b 4.6533
_cell_length_c 37.6140
_cell_angle_alpha 90.00
_cell_angle_beta 90.00
_cell_angle_gamma 120.00
_symmetry_space_group_name_H-M 'R -3 m'
_symmetry_Int_Tables_number 166
_symmetry_space_group_name_Hall '-R 3 2"'
loop_
_atom_site_label
_atom_site_fract_x
_atom_site_fract_y
_atom_site_fract_z
_atom_site_occupancy
Rb1 0.0000 0.0000 0.0000 1
Ba1 0.0000 0.0000 0.1208 1
Pd1 0.0000 0.0000 0.5000 1



# 3
# PBE RbBa2Pd, relaxed
# ΔE_f: -55.9 meV/atom
data_RbBa2Pd
_cell_length_a 10.458
_cell_length_b 10.458
_cell_length_c 7.970
_cell_angle_alpha 90.00
_cell_angle_beta 90.00
_cell_angle_gamma 90.00
_symmetry_space_group_name_H-M 'I -4 2 d'
_symmetry_Int_Tables_number 122
_symmetry_space_group_name_Hall 'I -4 2bw'
loop_
_atom_site_label
_atom_site_fract_x
_atom_site_fract_y
_atom_site_fract_z
_atom_site_occupancy
Rb1 0.000 0.000 0.000 1
Ba1 0.134 0.750 0.625 1
Pd1 0.000 0.000 0.500 1



# 4
# PBE RbBa4Pd, relaxed
# ΔE_f: -1.9 meV/atom
data_RbBa4Pd
_cell_length_a 10.156
_cell_length_b 10.156
_cell_length_c 7.233
_cell_angle_alpha 90.00
_cell_angle_beta 90.00
_cell_angle_gamma 90.00
_symmetry_space_group_name_H-M 'I -4'
_symmetry_Int_Tables_number 82
loop_
_symmetry_equiv_pos_as_xyz
'x,y,z'
'y,-x,-z'
'-x,-y,z'
'-y,x,-z'
'x+1/2,y+1/2,z+1/2'
'y+1/2,-x+1/2,-z+1/2'
'-x+1/2,-y+1/2,z+1/2'
'-y+1/2,x+1/2,-z+1/2'
loop_
_atom_site_label
_atom_site_fract_x
_atom_site_fract_y
_atom_site_fract_z
_atom_site_occupancy
Rb1 0.000 0.000 0.000 1
Ba1 0.108 0.299 0.511 1
Pd1 0.000 0.500 0.250 1